Density functional theory data (PBE with a Hubbard U) for a relaxed FeAuSe2F crystal.

Structure (extended XYZ):
```
5
Lattice="4.784 0.000 0.000 0.000 4.456 0.000 0.000 0.000 4.784" Properties=species:S:1:pos:R:3 pbc="T T T"
Se 2.392 0.000 0.000
Se 0.000 0.000 2.392
Fe 2.392 2.228 2.392
Au 0.000 2.228 0.000
F 0.000 0.000 0.000
```

Properties
As for the magnetic moment: 3.98 Bohr magnetons per cell. Its total DFT energy (no corrections) is -15.56 eV per formula unit.